[1]
Entry from Alexandria: BaGaTcSn2 after structural relaxation (PBE).

Results
As for the energy relative to the elements: -227 meV per atom. Its space-group type is P4/mmm (123).

Lattice parameters (Å, degrees): 5.237 5.237 4.963 90.00 90.00 90.00
Element x y z (fractional)
1 Ga 0.000 0.000 0.500
2 Ba 0.500 0.500 0.500
3 Sn 0.500 0.000 0.000
4 Sn 0.000 0.500 0.000
5 Tc 0.000 0.000 0.000

=====

[2]
Entry from Alexandria: BaGa2TcSn after structural relaxation (PBE).

Results
As for the energy relative to the elements: -340 meV per atom. Its space-group type is P4/mmm (123).

Lattice parameters (Å, degrees): 4.961 4.961 5.173 90.00 90.00 90.00
Element x y z (fractional)
1 Tc 0.000 0.000 0.000
2 Ga 0.000 0.500 0.000
3 Ga 0.500 0.000 0.000
4 Sn 0.000 0.000 0.500
5 Ba 0.500 0.500 0.500

=====

[3]
Entry from Alexandria: Ba2GaSnTe5 after structural relaxation (PBE).

Results
The value obtained for the energy relative to the elements, uncorrected is -21.52 kcal/mol of atoms. Its space-group type is Cmc2_1 (36).

Lattice parameters (Å, degrees): 4.555 10.809 13.669 90.00 90.00 102.16
Element x y z (fractional)
1 Sn 0.781 0.562 0.525
2 Sn 0.219 0.438 0.025
3 Te 0.722 0.444 0.175
4 Te 0.645 0.289 0.495
5 Te 0.051 0.103 0.051
6 Te 0.690 0.379 0.870
7 Te 0.503 0.005 0.780
8 Te 0.497 0.995 0.280
9 Te 0.310 0.621 0.370
10 Te 0.355 0.711 0.995
11 Te 0.278 0.556 0.675
12 Te 0.949 0.897 0.551
13 Ba 0.111 0.222 0.681
14 Ba 0.878 0.756 0.804
15 Ba 0.889 0.778 0.181
16 Ba 0.122 0.244 0.304
17 Ga 0.569 0.139 0.943
18 Ga 0.431 0.861 0.443

=====

[4]
Entry from Alexandria: Ba2Tl6GaSn after structural relaxation (PBE).

Results
As for the energy relative to the elements: -135 meV per atom. Its space-group type is R-3m (166).

Lattice parameters (Å, degrees): 7.693 7.693 14.364 74.47 74.47 60.00
Element x y z (fractional)
1 Tl 0.344 0.779 0.097
2 Tl 0.337 0.337 0.407
3 Tl 0.221 0.656 0.903
4 Tl 0.779 0.779 0.097
5 Tl 0.663 0.080 0.593
6 Tl 0.337 0.920 0.407
7 Tl 0.221 0.221 0.903
8 Tl 0.656 0.221 0.903
9 Tl 0.779 0.344 0.097
10 Tl 0.663 0.663 0.593
11 Tl 0.920 0.337 0.407
12 Tl 0.080 0.663 0.593
13 Sn 0.426 0.426 0.723
14 Sn 0.574 0.574 0.277
15 Ba 0.891 0.891 0.327
16 Ba 0.109 0.109 0.673
17 Ba 0.718 0.718 0.845
18 Ba 0.282 0.282 0.155
19 Ga 0.000 0.000 0.000
20 Ga 0.500 0.500 0.500

=====

[5]
Entry from Alexandria: Ba2TlGa4Sn3 after structural relaxation (PBE).

Results
As for the energy relative to the elements: -360 meV per atom. Its space-group type is P-4m2 (115).

Lattice parameters (Å, degrees): 5.135 5.135 10.739 90.00 90.00 90.00
Element x y z (fractional)
1 Ga 0.500 0.000 0.625
2 Ga 0.500 0.500 0.000
3 Ga 0.000 0.500 0.375
4 Ga 0.000 0.000 0.000
5 Ba 0.500 0.000 0.244
6 Ba 0.000 0.500 0.756
7 Tl 0.500 0.500 0.500
8 Sn 0.500 0.000 0.881
9 Sn 0.000 0.500 0.119
10 Sn 0.000 0.000 0.500

=====

[6]
Entry from Alexandria: BaTlGaSn after structural relaxation (PBE).

Results
As for the energy relative to the elements: -270 meV per atom. Its space-group type is F-43m (216).

Lattice parameters (Å, degrees): 5.569 5.569 5.569 60.00 60.00 60.00
Element x y z (fractional)
1 Tl 0.750 0.750 0.750
2 Ba 0.500 0.500 0.500
3 Ga 0.250 0.250 0.250
4 Sn 0.000 0.000 0.000

=====

Table of calculated volume (Å³ per cell), in record order: 136.1, 127.3, 657.9, 700.1, 283.2, 122.1